No. 1
Entry from the Alexandria database: an optimized crystal structure of CrNiPb2 (PBE).

## Properties
The calculation puts the total energy at -5.24 eV/atom.

Lattice parameters (Å, degrees): 6.8829 6.8829 6.8829 90.00 90.00 90.00
Closest atoms and distances in Å follow each position.
Space group Fm-3m (No. 225)
Unique sites:
Cr1 0.0000 0.0000 0.0000 (multiplicity 4)  8 Pb 2.98
Ni1 0.0000 0.0000 0.5000 (multiplicity 4)  8 Pb 2.98
Pb1 0.2500 0.2500 0.2500 (multiplicity 8)  4 Cr 2.98, 4 Ni 2.98



No. 2
Entry from the Alexandria database: an optimized crystal structure of CrNiPb (PBE).

## Properties
The calculation puts the total energy at -5.72 eV/atom.

Lattice parameters (Å, degrees): 3.2331 3.2331 6.0176 90.00 90.00 120.00
Closest atoms and distances in Å follow each position.
Space group P3m1 (No. 156)
Unique sites:
Cr1 0.0000 0.0000 0.0000 (multiplicity 1)  3 Ni 2.41
Ni1 0.3333 0.6667 0.2523 (multiplicity 1)  3 Cr 2.41
Pb1 0.6667 0.3333 0.6048 (multiplicity 1)  3 Ni 2.83, 3 Cr 3.02



No. 3
Entry from the Alexandria database: an optimized crystal structure of CrNiPb2 (PBE).

## Properties
The calculation puts the total energy at -5.34 eV/atom.

Lattice parameters (Å, degrees): 4.1923 4.1923 17.8120 90.00 90.00 120.00
Closest atoms and distances in Å follow each position.
Space group R3m (No. 160, hexagonal axes)
Unique sites:
Cr1 0.0000 0.0000 0.0000 (multiplicity 3)  3 Ni 2.42
Ni1 0.0000 0.0000 0.6628 (multiplicity 3)  3 Cr 2.42
Pb1 0.0000 0.0000 0.2367 (multiplicity 3)  3 Ni 2.93, 3 Cr 2.97
Pb2 0.0000 0.0000 0.4269 (multiplicity 3)  3 Cr 2.94, 3 Ni 2.98



No. 4
Entry from the Alexandria database: an optimized crystal structure of CrNiPb2 (PBE).

## Properties
The calculation puts the total energy at -5.28 eV/atom.

Lattice parameters (Å, degrees): 3.3194 4.5033 11.3025 90.00 90.00 90.00
Closest atoms and distances in Å follow each position.
Space group Imm2 (No. 44)
Unique sites:
Cr1 0.0000 0.0000 0.0000 (multiplicity 2)  2 Ni 2.63
Ni1 0.0000 0.5000 0.3199 (multiplicity 2)  2 Cr 2.63, 4 Pb 2.80
Pb1 0.0000 0.0000 0.5981 (multiplicity 2)  2 Ni 3.01, 4 Cr 3.01, 4 Pb 3.32-3.35
Pb2 0.0000 0.5000 0.8169 (multiplicity 2)  4 Ni 2.80, 2 Cr 3.06



No. 5
Entry from the Alexandria database: an optimized crystal structure of CrNiPb2 (PBE).

## Properties
The calculation puts the total energy at -5.23 eV/atom.

Lattice parameters (Å, degrees): 3.4155 3.4116 7.1472 90.00 93.87 90.00
Closest atoms and distances in Å follow each position.
Space group P2/m (No. 10)
Unique sites:
Cr1 0.0000 0.0000 0.0000 (multiplicity 1)  8 Pb 3.04-3.15
Ni1 0.0000 0.0000 0.5000 (multiplicity 1)  8 Pb 2.83-2.99
Pb1 0.4924 0.5000 0.7284 (multiplicity 2)  4 Ni 2.83-2.99, 4 Cr 3.04-3.15



No. 6
Entry from the Alexandria database: an optimized crystal structure of CrNiPb2 (PBE).

## Properties
The calculation puts the total energy at -5.38 eV/atom.

Lattice parameters (Å, degrees): 3.2559 3.2559 8.2128 90.00 90.00 90.00
Closest atoms and distances in Å follow each position.
Space group P4mm (No. 99)
Unique sites:
Cr1 0.0000 0.0000 0.0000 (multiplicity 1)  4 Ni 2.54
Ni1 0.5000 0.5000 0.1321 (multiplicity 1)  4 Cr 2.54
Pb1 0.0000 0.0000 0.3589 (multiplicity 1)  1 Cr 2.95, 4 Ni 2.96, 4 Pb 3.26
Pb2 0.5000 0.5000 0.7562 (multiplicity 1)  4 Cr 3.05, 1 Ni 3.09, 4 Pb 3.26



| no. | D(E_F) (states/eV/atom) | formation energy (meV/atom) | mass density (Mg/m³) |
| --- | --- | --- | --- |
| 1 | 0.47 | 469.2 | 10.70 |
| 2 | 1.16 | 650.2 | 9.69 |
| 3 | 0.55 | 367.9 | 9.65 |
| 4 | 0.61 | 427.6 | 10.32 |
| 5 | 0.60 | 472.5 | 10.49 |
| 6 | 1.26 | 327.2 | 10.02 |